w.
# ZrTcN

Crystalline ZrTcN at its relaxed geometry (PBE, the Alexandria database).

Calculated values
The density of states at the Fermi level comes out at 3.53 states/eV per cell.

a b c (Å): 5.5715 5.5715 5.1831
angles (deg): 105.16 105.16 32.47
Fractional positions:
Zr1 0.0000 0.0000 0.0000
Zr2 0.2145 0.2145 0.6400
Tc1 0.4625 0.4625 0.4667
Tc2 0.7682 0.7682 0.1668
N1 0.6143 0.6143 0.8318
N2 0.8575 0.8575 0.5748

***

x.
# ZrTcN

Crystalline ZrTcN at its relaxed geometry (PBE, the Alexandria database).

Calculated values
The density of states at the Fermi level comes out at 1.59 states/eV per cell.

a b c (Å): 5.7235 5.7235 4.8892
angles (deg): 100.71 100.71 31.53
Fractional positions:
Zr1 0.0000 0.0000 0.0000
Zr2 0.2412 0.2412 0.8755
Tc1 0.4133 0.4133 0.4591
Tc2 0.6902 0.6902 0.4064
N1 0.5825 0.5825 0.7341
N2 0.8312 0.8312 0.1845

***

Among the structures above, stability is greatest for w.